The following is a GGA-PBE calculation of a relaxed ScSb2Mo crystal, from the Alexandria database.

As for the density: 7.31 g/cm³. The value obtained for the density of states at the Fermi level is 1.016 states/eV/atom. The value obtained for the formation energy from raw total energies is -143 meV/atom. For the distance to the lowest polymorph of the same formula, the calculation gives 0.068 eV/atom. The crystal system is orthorhombic.

The space group is Amm2 (No. 38) and the conventional cell measures 4.621, 3.545 and 10.668 Å, with angles of 90.00, 90.00 and 90.00 degrees. Symmetry generates all atoms from Sc at (0.000, 0.000, 0.000), Sb at (0.000, 0.000, 0.727), Sb at (0.500, 0.000, 0.458) and Mo at (0.500, 0.000, 0.166).

***

The following is a GGA-PBE calculation of a relaxed SmAlTc crystal, from the Alexandria database.

As for the density: 7.16 g/cm³. The value obtained for the density of states at the Fermi level is 0.361 states/eV/atom. Its formation energy is -102.6 meV/atom. For the distance to the lowest polymorph of the same formula, the calculation gives 0.254 eV/atom. The crystal system is hexagonal.

The space group is P-6m2 (No. 187) and the conventional cell measures 4.3872, 4.3872 and 3.8284 Å, with angles of 90.00, 90.00 and 120.00 degrees. Symmetry generates all atoms from Sm at (0.0000, 0.0000, 0.0000), Al at (0.3333, 0.6667, 0.5000) and Tc at (0.6667, 0.3333, 0.5000).

***

The following is a GGA-PBE calculation of a relaxed RbBaTc3 crystal, from the Alexandria database.

As for the density: 5.56 g/cm³. The value obtained for the density of states at the Fermi level is 0.560 states/eV/atom. Its formation energy is 2684.8 meV/atom. For the distance to the lowest polymorph of the same formula, the calculation gives 0.000 eV/atom. The crystal system is cubic.

The space group is Pm-3m (No. 221) and the conventional cell measures 5.363, 5.363 and 5.363 Å, with angles of 90.00, 90.00 and 90.00 degrees. Symmetry generates all atoms from Rb at (0.000, 0.000, 0.000), Ba at (0.500, 0.500, 0.500) and Tc at (0.000, 0.500, 0.500).

***

The following is a GGA-PBE calculation of a relaxed LiSm2Au2 crystal, from the Alexandria database.

As for the density: 9.09 g/cm³. The value obtained for the density of states at the Fermi level is 0.855 states/eV/atom. Its formation energy is -570.9 meV/atom. For the distance to the lowest polymorph of the same formula, the calculation gives 0.081 eV/atom. The crystal system is orthorhombic.

The space group is Ibam (No. 72) and the conventional cell measures 7.490, 11.734 and 5.834 Å, with angles of 90.00, 90.00 and 90.00 degrees. Symmetry generates all atoms from Li at (0.000, 0.000, 0.250), Sm at (0.166, 0.342, 0.000) and Au at (0.231, 0.401, 0.500).

***

The following is a GGA-PBE calculation of a relaxed CrCuAs3 crystal, from the Alexandria database.

As for the density: 5.71 g/cm³. The value obtained for the density of states at the Fermi level is 0.879 states/eV/atom. Its formation energy is 572.1 meV/atom. For the distance to the lowest polymorph of the same formula, the calculation gives 0.000 eV/atom. The crystal system is cubic.

The space group is Pm-3m (No. 221) and the conventional cell measures 4.625, 4.625 and 4.625 Å, with angles of 90.00, 90.00 and 90.00 degrees. Symmetry generates all atoms from Cr at (0.000, 0.000, 0.000), Cu at (0.500, 0.500, 0.500) and As at (0.000, 0.000, 0.500).

***

The following is a GGA-PBE calculation of a relaxed Cs3LiRe crystal, from the Alexandria database.

As for the density: 3.86 g/cm³. The value obtained for the density of states at the Fermi level is 1.085 states/eV/atom. Its formation energy is 1411.3 meV/atom. For the distance to the lowest polymorph of the same formula, the calculation gives 0.000 eV/atom. The crystal system is cubic.

The space group is Pm-3m (No. 221) and the conventional cell measures 6.339, 6.339 and 6.339 Å, with angles of 90.00, 90.00 and 90.00 degrees. Symmetry generates all atoms from Cs at (0.000, 0.000, 0.500), Li at (0.500, 0.500, 0.500) and Re at (0.000, 0.000, 0.000).

***

The following is a GGA-PBE calculation of a relaxed ZrBeSi crystal, from the Alexandria database.

As for the density: 4.83 g/cm³. The value obtained for the density of states at the Fermi level is 0.152 states/eV/atom. The value obtained for the formation energy from raw total energies is -655 meV/atom. For the distance to the lowest polymorph of the same formula, the calculation gives 0.096 eV/atom. The crystal system is orthorhombic.

The space group is Pmmm (No. 47) and the conventional cell measures 3.621, 3.740 and 6.519 Å, with angles of 90.00, 90.00 and 90.00 degrees. Symmetry generates all atoms from Zr at (0.000, 0.000, 0.000), Zr at (0.000, 0.500, 0.500), Be at (0.500, 0.000, 0.342) and Si at (0.500, 0.500, 0.178).

***

The following is a GGA-PBE calculation of a relaxed Rb3Sn3Pb8 crystal, from the Alexandria database.

As for the density: 7.69 g/cm³. The value obtained for the density of states at the Fermi level is 0.394 states/eV/atom. Its formation energy is -84.4 meV/atom. The crystal system is orthorhombic.

The space group is Immm (No. 71) and the conventional cell measures 5.417, 12.632 and 14.319 Å, with angles of 90.00, 90.00 and 90.00 degrees. Symmetry generates all atoms from Rb at (0.000, 0.000, 0.000), Rb at (0.000, 0.000, 0.285), Sn at (0.000, 0.158, 0.500), Sn at (0.000, 0.500, 0.000), Pb at (0.000, 0.285, 0.147) and Pb at (0.000, 0.358, 0.370).

***

The following is a GGA-PBE calculation of a relaxed Sm2ThH crystal, from the Alexandria database.

As for the density: 8.68 g/cm³. The value obtained for the density of states at the Fermi level is 1.084 states/eV/atom. For the distance to the lowest polymorph of the same formula, the calculation gives 0.000 eV/atom. The crystal system is trigonal.

The space group is R-3m (No. 166, hexagonal axes) and the conventional cell measures 3.4982, 3.4982 and 28.9161 Å, with angles of 90.00, 90.00 and 120.00 degrees. Symmetry generates all atoms from Sm at (0.0000, 0.0000, 0.1176), Th at (0.0000, 0.0000, 0.0000) and H at (0.0000, 0.0000, 0.5000).

***

The following is a GGA-PBE calculation of a relaxed La2CoGe3 crystal, from the Alexandria database.

As for the density: 6.83 g/cm³. The value obtained for the density of states at the Fermi level is 0.673 states/eV/atom. Its formation energy is -691.0 meV/atom. For the distance to the lowest polymorph of the same formula, the calculation gives 0.027 eV/atom. The crystal system is orthorhombic.

The space group is Pmm2 (No. 25) and the conventional cell measures 4.292, 4.329 and 7.255 Å, with angles of 90.00, 90.00 and 90.00 degrees. Symmetry generates all atoms from La at (0.000, 0.000, 0.000), La at (0.500, 0.000, 0.487), Co at (0.500, 0.500, 0.187), Ge at (0.000, 0.500, 0.312), Ge at (0.000, 0.500, 0.664) and Ge at (0.500, 0.500, 0.863).

***

The following is a GGA-PBE calculation of a relaxed SrZrTe2 crystal, from the Alexandria database.

As for the density: 5.96 g/cm³. The value obtained for the density of states at the Fermi level is 0.637 states/eV/atom. The value obtained for the formation energy from raw total energies is -1075 meV/atom. For the distance to the lowest polymorph of the same formula, the calculation gives 0.000 eV/atom. The crystal system is trigonal.

The space group is R-3m (No. 166, hexagonal axes) and the conventional cell measures 4.3295, 4.3295 and 22.3513 Å, with angles of 90.00, 90.00 and 120.00 degrees. Symmetry generates all atoms from Sr at (0.0000, 0.0000, 0.0000), Zr at (0.0000, 0.0000, 0.5000) and Te at (0.0000, 0.0000, 0.2400).

***

The following is a GGA-PBE calculation of a relaxed Ac2MgBiO6 crystal, from the Alexandria database.

As for the density: 8.54 g/cm³. The value obtained for the density of states at the Fermi level is 0.453 states/eV/atom. The value obtained for the formation energy from raw total energies is -2508 meV/atom. The crystal system is monoclinic.

The space group is P2_1/c (No. 14) and the conventional cell measures 5.916, 6.084 and 10.285 Å, with angles of 90.00, 124.65 and 90.00 degrees. Symmetry generates all atoms from Ac at (0.235, 0.050, 0.249), Mg at (0.000, 0.000, 0.500), Bi at (0.500, 0.000, 0.000), O at (0.141, 0.212, 0.944), O at (0.234, 0.698, 0.945) and O at (0.344, 0.038, 0.742).

***

The following is a GGA-PBE calculation of a relaxed NdY5Ho6 crystal, from the Alexandria database.

As for the density: 6.87 g/cm³. The value obtained for the density of states at the Fermi level is 1.397 states/eV/atom. Its formation energy is 21.8 meV/atom. The crystal system is monoclinic.

The space group is C2/m (No. 12) and the conventional cell measures 6.160, 10.661 and 11.797 Å, with angles of 90.00, 99.98 and 90.00 degrees. Symmetry generates all atoms from Nd at (0.000, 0.000, 0.000), Y at (0.000, 0.167, 0.500), Y at (0.000, 0.333, 0.000), Y at (0.000, 0.500, 0.500), Ho at (0.249, 0.000, 0.749) and Ho at (0.250, 0.167, 0.251).

***

The following is a GGA-PBE calculation of a relaxed WBrCl2 crystal, from the Alexandria database.

As for the density: 6.94 g/cm³. The value obtained for the density of states at the Fermi level is 0.869 states/eV/atom. The value obtained for the formation energy from raw total energies is 969 meV/atom. For the distance to the lowest polymorph of the same formula, the calculation gives 1.316 eV/atom. The crystal system is tetragonal.

The space group is I4/mmm (No. 139) and the conventional cell measures 4.497, 4.497 and 7.917 Å, with angles of 90.00, 90.00 and 90.00 degrees. Symmetry generates all atoms from W at (0.000, 0.000, 0.000), Br at (0.000, 0.000, 0.500) and Cl at (0.000, 0.500, 0.250).

***

The following is a GGA-PBE calculation of a relaxed BeAuBr2 crystal, from the Alexandria database.

As for the density: 5.22 g/cm³. The value obtained for the density of states at the Fermi level is 0.120 states/eV/atom. The value obtained for the formation energy from raw total energies is -31 meV/atom. For the distance to the lowest polymorph of the same formula, the calculation gives 0.243 eV/atom. The crystal system is monoclinic.

The space group is P2/m (No. 10) and the conventional cell measures 3.612, 3.168 and 10.213 Å, with angles of 90.00, 95.40 and 90.00 degrees. Symmetry generates all atoms from Be at (0.000, 0.000, 0.000), Au at (0.500, 0.000, 0.500) and Br at (0.108, 0.500, 0.852).

***

The following is a GGA-PBE calculation of a relaxed CeHoRu4 crystal, from the Alexandria database.

As for the density: 10.89 g/cm³. The value obtained for the density of states at the Fermi level is 0.745 states/eV/atom. Its formation energy is -287.2 meV/atom. The crystal system is cubic.

The space group is F-43m (No. 216) and the conventional cell measures 7.562, 7.562 and 7.562 Å, with angles of 90.00, 90.00 and 90.00 degrees. Symmetry generates all atoms from Ce at (0.000, 0.000, 0.000), Ho at (0.250, 0.250, 0.750) and Ru at (0.125, 0.125, 0.375).

***

The following is a GGA-PBE calculation of a relaxed CePuURu crystal, from the Alexandria database.

As for the density: 14.41 g/cm³. The value obtained for the density of states at the Fermi level is 2.423 states/eV/atom. Its formation energy is 51.4 meV/atom. The crystal system is cubic.

The space group is F-43m (No. 216) and the conventional cell measures 6.934, 6.934 and 6.934 Å, with angles of 90.00, 90.00 and 90.00 degrees. Symmetry generates all atoms from Ce at (0.000, 0.000, 0.000), Pu at (0.250, 0.250, 0.750), U at (0.000, 0.000, 0.500) and Ru at (0.250, 0.250, 0.250).

***

The following is a GGA-PBE calculation of a relaxed Tb2Y6Ho crystal, from the Alexandria database.

As for the density: 5.82 g/cm³. The value obtained for the density of states at the Fermi level is 1.544 states/eV/atom. Its formation energy is 70.7 meV/atom. For the distance to the lowest polymorph of the same formula, the calculation gives 0.049 eV/atom. The crystal system is monoclinic.

The space group is C2/c (No. 15) and the conventional cell measures 13.414, 11.737 and 9.067 Å, with angles of 90.00, 125.60 and 90.00 degrees. Symmetry generates all atoms from Tb at (0.189, 0.097, 0.427), Y at (0.031, 0.130, 0.957), Y at (0.103, 0.413, 0.691), Y at (0.224, 0.335, 0.143) and Ho at (0.000, 0.326, 0.250).

***

The following is a GGA-PBE calculation of a relaxed LaP2Ir crystal, from the Alexandria database.

As for the density: 8.50 g/cm³. The value obtained for the density of states at the Fermi level is 0.857 states/eV/atom. Its formation energy is 29.5 meV/atom. The crystal system is cubic.

The space group is F-43m (No. 216) and the conventional cell measures 6.747, 6.747 and 6.747 Å, with angles of 90.00, 90.00 and 90.00 degrees. Symmetry generates all atoms from La at (0.000, 0.000, 0.000), P at (0.000, 0.000, 0.500), P at (0.250, 0.250, 0.250) and Ir at (0.250, 0.250, 0.750).

***

The following is a GGA-PBE calculation of a relaxed Tl8Te3I2 crystal, from the Alexandria database.

As for the density: 6.70 g/cm³. The value obtained for the density of states at the Fermi level is 0.001 states/eV/atom. The value obtained for the formation energy from raw total energies is -358 meV/atom. The crystal system is orthorhombic.

The space group is Cmmm (No. 65) and the conventional cell measures 11.695, 17.263 and 5.578 Å, with angles of 90.00, 90.00 and 90.00 degrees. Symmetry generates all atoms from Tl at (0.000, 0.108, 0.000), Tl at (0.000, 0.383, 0.000), Tl at (0.230, 0.113, 0.500), Te at (0.000, 0.000, 0.500), Te at (0.226, 0.500, 0.000) and I at (0.000, 0.263, 0.500).